ZrPa2Fe9: optimized geometry, PBE.

The space group is R-3m (No. 166, hexagonal axes) and the conventional cell measures 4.7997, 4.7997 and 25.1315 Å, with angles of 90.00, 90.00 and 120.00 degrees. The distinct sites, in fractional coordinates, are Zr at (0.0000, 0.0000, 0.0000), Pa at (0.0000, 0.0000, 0.1416), Fe at (0.0000, 0.0000, 0.3332), Fe at (0.0000, 0.0000, 0.5000) and Fe at (0.0007, 0.5004, 0.0792).

The calculated volume comes out at 13.93 A^3/atom. The magnetization comes out at 3.43 μB/f.u. The density comes out at 10.491 g/cm³. Its calculated total energy is -315.56 eV/cell.

***

Dy2Ga2HgPd5: optimized geometry, PBE.

The space group is P4/mbm (No. 127) and the conventional cell measures 9.852, 9.852 and 3.811 Å, with angles of 90.00, 90.00 and 90.00 degrees. The distinct sites, in fractional coordinates, are Dy at (0.177, 0.323, 0.000), Ga at (0.121, 0.621, 0.000), Hg at (0.000, 0.000, 0.000), Pd at (0.000, 0.500, 0.500) and Pd at (0.066, 0.789, 0.500).

The calculated volume comes out at 18.50 A^3/atom. The magnetization comes out at 0.00 μB/f.u. The density comes out at 10.747 g/cm³. Its calculated total energy is -96.61 eV/cell.

***

Na8Tl6Pd: optimized geometry, PBE.

The space group is R-3 (No. 148, hexagonal axes) and the conventional cell measures 8.7001, 8.7001 and 19.8062 Å, with angles of 90.00, 90.00 and 120.00 degrees. The distinct sites, in fractional coordinates, are Na at (0.0000, 0.0000, 0.0960), Na at (0.0345, 0.2531, 0.6288), Tl at (0.0189, 0.7168, 0.2050) and Pd at (0.0000, 0.0000, 0.5000).

The calculated volume comes out at 28.85 A^3/atom. The magnetization comes out at 0.00 μB/f.u. The density comes out at 5.819 g/cm³. Its calculated total energy is -93.09 eV/cell. For the energy above the most stable polymorph in this dataset, the calculation gives 0.009 eV/atom.

***

K2MnBiSe4: optimized geometry, PBE.

The space group is C2/c (No. 15) and the conventional cell measures 12.041, 12.029 and 8.688 Å, with angles of 90.00, 133.58 and 90.00 degrees. The distinct sites, in fractional coordinates, are K at (0.000, 0.000, 0.000), K at (0.250, 0.250, 0.000), Mn at (0.000, 0.500, 0.000), Bi at (0.250, 0.250, 0.500), Se at (0.006, 0.286, 0.024) and Se at (0.207, 0.493, 0.492).

The calculated volume comes out at 28.49 A^3/atom. The magnetization comes out at 3.98 μB/f.u. The density comes out at 4.794 g/cm³. Its calculated total energy is -139.20 eV/cell. The value obtained for the uncorrected formation energy is -16.19 kcal/mol of atoms.

***

CeDyAu2: optimized geometry, PBE.

The space group is R-3m (No. 166, hexagonal axes) and the conventional cell measures 4.1145, 4.1145 and 22.3676 Å, with angles of 90.00, 90.00 and 120.00 degrees. The distinct sites, in fractional coordinates, are Ce at (0.0000, 0.0000, 0.0000), Dy at (0.0000, 0.0000, 0.5000) and Au at (0.0000, 0.0000, 0.2466).

The calculated volume comes out at 27.33 A^3/atom. The magnetization comes out at 1.30 μB/f.u. The density comes out at 10.581 g/cm³. Its calculated total energy is -58.44 eV/cell.

***

PrGdCuHg: optimized geometry, PBE.

The space group is F-43m (No. 216) and the conventional cell measures 7.412, 7.412 and 7.412 Å, with angles of 90.00, 90.00 and 90.00 degrees. The distinct sites, in fractional coordinates, are Pr at (0.000, 0.000, 0.000), Gd at (0.000, 0.000, 0.500), Cu at (0.250, 0.250, 0.750) and Hg at (0.250, 0.250, 0.250).

The calculated volume comes out at 25.45 A^3/atom. The magnetization comes out at 7.47 μB/f.u. The density comes out at 9.173 g/cm³. Its calculated total energy is -97.72 eV/cell.

***

U2PaMo: optimized geometry, PBE.

The space group is P4/mmm (No. 123) and the conventional cell measures 3.416, 3.416 and 7.239 Å, with angles of 90.00, 90.00 and 90.00 degrees. The distinct sites, in fractional coordinates, are U at (0.000, 0.000, 0.232), Pa at (0.500, 0.500, 0.500) and Mo at (0.500, 0.500, 0.000).

The calculated volume comes out at 21.12 A^3/atom. The magnetization comes out at 3.21 μB/f.u. The density comes out at 15.784 g/cm³. Its calculated total energy is -41.89 eV/cell. For the energy above the most stable polymorph in this dataset, the calculation gives 0.000 eV/atom.

***

CaInMo2: optimized geometry, PBE.

The space group is F-43m (No. 216) and the conventional cell measures 6.764, 6.764 and 6.764 Å, with angles of 90.00, 90.00 and 90.00 degrees. The distinct sites, in fractional coordinates, are Ca at (0.000, 0.000, 0.000), In at (0.250, 0.250, 0.250), Mo at (0.000, 0.000, 0.500) and Mo at (0.250, 0.250, 0.750).

The calculated volume comes out at 19.34 A^3/atom. The magnetization comes out at 0.00 μB/f.u. The density comes out at 7.443 g/cm³. Its calculated total energy is -98.35 eV/cell.

***

Sr15Ca2Ac2: optimized geometry, PBE.

The space group is R-3m (No. 166, hexagonal axes) and the conventional cell measures 11.7953, 11.7953 and 25.6924 Å, with angles of 90.00, 90.00 and 120.00 degrees. The distinct sites, in fractional coordinates, are Sr at (0.0000, 0.3097, 0.0000), Sr at (0.0000, 0.5000, 0.5000), Sr at (0.0988, 0.5494, 0.1094), Ca at (0.0000, 0.0000, 0.2844) and Ac at (0.0000, 0.0000, 0.0761).

The calculated volume comes out at 54.31 A^3/atom. The magnetization comes out at 0.00 μB/f.u. The density comes out at 2.975 g/cm³. Its calculated total energy is -98.52 eV/cell.

***

Co2Se: optimized geometry, PBE.

The space group is I4/mcm (No. 140) and the conventional cell measures 4.873, 4.873 and 6.965 Å, with angles of 90.00, 90.00 and 90.00 degrees. The distinct sites, in fractional coordinates, are Co at (0.180, 0.320, 0.000) and Se at (0.000, 0.000, 0.250).

The calculated volume comes out at 13.78 A^3/atom. The magnetization comes out at 2.78 μB/f.u. The density comes out at 7.904 g/cm³. Its calculated total energy is -68.01 eV/cell. The value obtained for the uncorrected formation energy is 5.33 kcal/mol of atoms. For the energy above the most stable polymorph in this dataset, the calculation gives 0.362 eV/atom.

***

Cs2ReRu2: optimized geometry, PBE.

The space group is I4/mmm (No. 139) and the conventional cell measures 4.300, 4.300 and 15.173 Å, with angles of 90.00, 90.00 and 90.00 degrees. The distinct sites, in fractional coordinates, are Cs at (0.000, 0.500, 0.250), Re at (0.000, 0.000, 0.000) and Ru at (0.000, 0.000, 0.427).

The calculated volume comes out at 28.05 A^3/atom. The magnetization comes out at 6.19 μB/f.u. The density comes out at 7.745 g/cm³. Its calculated total energy is -40.87 eV/cell. For the energy above the most stable polymorph in this dataset, the calculation gives 1.319 eV/atom.

***

KBe2Ir: optimized geometry, PBE.

The space group is R-3m (No. 166, hexagonal axes) and the conventional cell measures 2.9061, 2.9061 and 27.2157 Å, with angles of 90.00, 90.00 and 120.00 degrees. The distinct sites, in fractional coordinates, are K at (0.0000, 0.0000, 0.0000), Be at (0.0000, 0.0000, 0.2265) and Ir at (0.0000, 0.0000, 0.5000).

The calculated volume comes out at 16.59 A^3/atom. The magnetization comes out at 0.00 μB/f.u. The density comes out at 6.240 g/cm³. Its calculated total energy is -46.11 eV/cell. For the energy above the most stable polymorph in this dataset, the calculation gives 0.580 eV/atom.